(1)
# La2Co5P4

A geometry-optimized La2Co5P4 structure (GGA-PBE, Alexandria).

Calculated values
Density of states at the Fermi level (states/eV/f.u.): 7.7
Energy of formation from the pure elements (eV/atom): -0.8074
Theoretical density (g cm⁻³): 6.97

Structure (CIF):
```
data_La2Co5P4
_cell_length_a 5.315
_cell_length_b 9.772
_cell_length_c 12.776
_cell_angle_alpha 90.00
_cell_angle_beta 90.00
_cell_angle_gamma 90.00
_symmetry_space_group_name_H-M 'F m m m'
_symmetry_Int_Tables_number 69
_symmetry_space_group_name_Hall '-F 2 2'
loop_
_atom_site_label
_atom_site_type_symbol
_atom_site_fract_x
_atom_site_fract_y
_atom_site_fract_z
_atom_site_occupancy
La1 La 0.000 0.000 0.139 1
Co1 Co 0.000 0.000 0.500 1
Co2 Co 0.250 0.250 0.000 1
Co3 Co 0.250 0.250 0.250 1
P1 P 0.000 0.160 0.372 1
```

=====

(2)
# RbYZnO3

A geometry-optimized RbYZnO3 structure (GGA-PBE, Alexandria).

Calculated values
Density of states at the Fermi level (states/eV/f.u.): 0.0
Theoretical density (g cm⁻³): 4.25
Formation energy from raw total energies (eV/f.u.): -13.23

Structure (CIF):
```
data_RbYZnO3
_cell_length_a 7.902
_cell_length_b 3.551
_cell_length_c 8.365
_cell_angle_alpha 90.00
_cell_angle_beta 106.79
_cell_angle_gamma 90.00
_symmetry_space_group_name_H-M 'P 1 21/m 1'
_symmetry_Int_Tables_number 11
loop_
_symmetry_equiv_pos_as_xyz
'x,y,z'
'-x,-y,-z'
'-x,y+1/2,-z'
'x,-y+1/2,z'
loop_
_atom_site_label
_atom_site_type_symbol
_atom_site_fract_x
_atom_site_fract_y
_atom_site_fract_z
_atom_site_occupancy
Rb1 Rb 0.201 0.250 0.216 1
Y1 Y 0.344 0.750 0.858 1
Zn1 Zn 0.080 0.250 0.614 1
O1 O 0.151 0.250 0.855 1
O2 O 0.168 0.750 0.549 1
O3 O 0.467 0.750 0.132 1
```

=====

(3)
# PmPaSbO6

A geometry-optimized PmPaSbO6 structure (GGA-PBE, Alexandria).

Calculated values
Density of states at the Fermi level (states/eV/f.u.): 6.0
Theoretical density (g cm⁻³): 7.00
Formation energy from raw total energies (eV/f.u.): -24.11

Structure (CIF):
```
data_PmPaSbO6
_cell_length_a 5.7424
_cell_length_b 5.7424
_cell_length_c 9.8673
_cell_angle_alpha 90.00
_cell_angle_beta 90.00
_cell_angle_gamma 120.00
_symmetry_space_group_name_H-M 'P -3 1 c'
_symmetry_Int_Tables_number 163
_symmetry_space_group_name_Hall '-P 3 2c'
loop_
_atom_site_label
_atom_site_type_symbol
_atom_site_fract_x
_atom_site_fract_y
_atom_site_fract_z
_atom_site_occupancy
Pm1 Pm 0.0000 0.0000 0.0000 1
Pa1 Pa 0.3333 0.6667 0.2500 1
Sb1 Sb 0.3333 0.6667 0.7500 1
O1 O 0.0069 0.3517 0.6370 1
```

=====

(4)
# CaAl2P

A geometry-optimized CaAl2P structure (GGA-PBE, Alexandria).

Calculated values
Density of states at the Fermi level (states/eV/f.u.): 1.7
Energy of formation from the pure elements (eV/atom): -0.3193
Theoretical density (g cm⁻³): 2.46

Structure (CIF):
```
data_CaAl2P
_cell_length_a 8.696
_cell_length_b 3.603
_cell_length_c 5.661
_cell_angle_alpha 90.00
_cell_angle_beta 107.84
_cell_angle_gamma 90.00
_symmetry_space_group_name_H-M 'C 1 m 1'
_symmetry_Int_Tables_number 8
loop_
_symmetry_equiv_pos_as_xyz
'x,y,z'
'x,-y,z'
'x+1/2,y+1/2,z'
'x+1/2,-y+1/2,z'
loop_
_atom_site_label
_atom_site_type_symbol
_atom_site_fract_x
_atom_site_fract_y
_atom_site_fract_z
_atom_site_occupancy
Ca1 Ca 0.000 0.000 0.000 1
Al1 Al 0.031 0.500 0.523 1
Al2 Al 0.284 0.500 0.362 1
P1 P 0.255 0.000 0.671 1
```

=====

Final energy, record by record: -303.62, -73.62, -144.46, -32.35 eV for the cell shown